A plane-wave DFT calculation with PBE-GGA was carried out for a relaxed structure of MoRh.

Lattice parameters (Å, degrees): 4.7961 4.7961 4.7961 33.50 33.50 33.50
Fractional coordinates of all 2 atoms:
Rh: 0.5000 0.5000 0.5000
Mo: 0.0000 0.0000 0.0000

Summary:
Its space group is R-3m, No. 166. The density is 11.0 g/cm³. The total energy is -18.25 eV for the cell shown.